[1]
## Na2LiCrCl (PBE)

Data for a relaxed Na2LiCrCl crystal.

Calculated values
Uncorrected formation energy in eV per atom: 0.023
Fermi-level density of states in states/eV/f.u.: 2.0

Unit cell a=5.4301 b=5.4301 c=4.9279 alpha=90.00 beta=90.00 gamma=90.00
Positions (direct):
Na (0.0000, 0.5000, 0.0000)
Na (0.5000, 0.0000, 0.0000)
Li (0.0000, 0.0000, 0.5000)
Cr (0.5000, 0.5000, 0.5000)
Cl (0.5000, 0.5000, 0.0000)



[2]
## Ca4MgHg (PBE)

Data for a relaxed Ca4MgHg crystal.

Calculated values
E above lowest polymorph in eV/atom: 0.0000
Fermi-level density of states in states/eV/f.u.: 5.1
Formation energy from the elements in meV per atom: -221

Unit cell a=3.8446 b=3.8446 c=13.5094 alpha=90.00 beta=90.00 gamma=90.00
Positions (direct):
Ca (0.0000, 0.0000, 0.1339)
Ca (0.0000, 0.0000, 0.8661)
Ca (0.5000, 0.5000, 0.3464)
Ca (0.5000, 0.5000, 0.6536)
Mg (0.0000, 0.0000, 0.5000)
Hg (0.5000, 0.5000, 0.0000)



[3]
## DyFe2Ni4 (PBE)

Data for a relaxed DyFe2Ni4 crystal.

Calculated values
Fermi-level density of states in states/eV/f.u.: 7.7
Formation energy from the elements in meV per atom: -200

Unit cell a=5.0100 b=5.0100 c=4.7892 alpha=118.44 beta=118.44 gamma=76.88
Positions (direct):
Dy (0.0000, 0.0000, 0.0000)
Fe (0.5000, 0.5000, 0.2499)
Fe (0.5000, 0.5000, 0.7501)
Ni (0.9999, 0.3926, 0.6962)
Ni (0.0001, 0.6074, 0.3038)
Ni (0.3926, 0.9999, 0.6962)
Ni (0.6074, 0.0001, 0.3038)



[4]
## Hf2CuRe (PBE)

Data for a relaxed Hf2CuRe crystal.

Calculated values
Fermi-level density of states in states/eV/f.u.: 2.7
Formation energy from the elements in meV per atom: -292

Unit cell a=4.6200 b=4.6200 c=4.6200 alpha=60.00 beta=60.00 gamma=60.00
Positions (direct):
Hf (0.2500, 0.2500, 0.2500)
Hf (0.7500, 0.7500, 0.7500)
Cu (0.0000, 0.0000, 0.0000)
Re (0.5000, 0.5000, 0.5000)



[5]
## SrRuSe2 (PBE)

Data for a relaxed SrRuSe2 crystal.

Calculated values
Uncorrected formation energy in eV per atom: -0.529
E above lowest polymorph in eV/atom: 0.3569
Fermi-level density of states in states/eV/f.u.: 2.8

Unit cell a=7.0573 b=7.0573 c=7.0573 alpha=150.75 beta=148.57 gamma=43.46
Positions (direct):
Sr (0.0000, 0.0000, 0.0000)
Ru (0.2521, 0.7521, 0.5000)
Se (0.3832, 0.3832, 0.0000)
Se (0.6810, 0.1810, 0.5000)